First-principles (SCAN) data for a PBEsol-optimized structure of Na3TbV2O8, as listed in the Alexandria database.

abc: 5.8417 5.8417 6.9261
angles: 90.00 90.00 120.00
Fractional positions:
O: 0.3333 0.6667 0.9735
O: 0.6517 0.8259 0.3047
O: 0.8259 0.6517 0.6953
O: 0.6667 0.3333 0.0265
O: 0.3483 0.1741 0.6953
O: 0.1741 0.8259 0.3047
O: 0.1741 0.3483 0.3047
O: 0.8259 0.1741 0.6953
V: 0.3333 0.6667 0.2115
V: 0.6667 0.3333 0.7885
Na: 0.6667 0.3333 0.3398
Na: 0.3333 0.6667 0.6602
Na: 0.0000 0.0000 0.0000
Tb: 0.0000 0.0000 0.5000

Properties
As for the density of states at the Fermi level: 0.0 states/eV/cell. The calculated volume comes out at 14.62 A^3/atom. The value obtained for the theoretical density is 3.7 g/cm3. The uncorrected formation energy comes out at -2.70 eV per atom.